VASP calculation (PBE-GGA) on a geometry-optimized NiAg4Br structure.

Computed properties:
E_tot = -0.195 Ry per atom
Volume = 120 Å³/f.u.
SG = F-43m, No. 216
Energy relative to the elements, uncorrected = 0.49 eV per atom
DOS at the Fermi energy = 1.03 states/eV/atom

a b c (Å): 5.5405 5.5405 5.5405
angles (deg): 60.00 60.00 60.00
With the nearest neighbours (Å) after each atom.
Fractional positions:
Ni  0.0000  0.0000  0.0000  12 Ag 3.25, 4 Br 3.39
Ag  0.1229  0.6257  0.6257  6 Ag 2.75-2.79
Ag  0.6257  0.1229  0.6257  6 Ag 2.75-2.79
Ag  0.6257  0.6257  0.1229  6 Ag 2.75-2.79
Ag  0.6257  0.6257  0.6257  6 Ag 2.75-2.79
Br  0.2500  0.2500  0.2500  12 Ag 3.25, 4 Ni 3.39


VASP calculation (PBE-GGA) on a geometry-optimized MgBeCd2Au6 structure.

Computed properties:
E_tot = -0.205 Ry per atom
Volume = 221 Å³/f.u.
SG = P-1, No. 2
Formation energy from the elements = -1.1 eV/f.u.
DOS at the Fermi energy = 0.34 states/eV/atom

a b c (Å): 5.7112 5.7349 8.4456
angles (deg): 109.58 90.08 119.82
With the nearest neighbours (Å) after each atom.
Fractional positions:
Mg  0.0000  0.0000  0.0000  6 Au 2.78-2.80
Be  0.5000  0.0000  0.5000  6 Au 2.34-2.35
Cd  0.2091  0.4141  0.6476  8 Au 2.90-3.19
Cd  0.7909  0.5859  0.3524  8 Au 2.90-3.19
Au  0.2270  0.9526  0.7085  1 Be 2.35
Au  0.2642  0.5334  0.2830  1 Be 2.34
Au  0.2713  0.0487  0.2932  1 Be 2.35
Au  0.7287  0.9513  0.7068  1 Be 2.35
Au  0.7358  0.4666  0.7170  1 Be 2.34
Au  0.7730  0.0474  0.2915  1 Be 2.35


Number 1: density 7.87 g/cm3. Number 2: density 10.81 g/cm3.